(1)
# NbTlCuTe2Se | OQMD | GGA-PBE | optimized geometry
# Calculated density, Mg/m³: 7.66
# DFT total energy, eV per atom: -4.65
data_NbTlCuTe2Se
_chemical_formula_sum 'Nb4 Tl4 Cu4 Te8 Se4'
_space_group_name_H-M_alt 'C m c m'
_space_group_IT_number 63
_space_group_name_Hall '-C 2c 2'
_cell_length_a 3.835
_cell_length_b 15.497
_cell_length_c 10.146
_cell_angle_alpha 90.00
_cell_angle_beta 90.00
_cell_angle_gamma 90.00
loop_
_atom_site_label
_atom_site_fract_x
_atom_site_fract_y
_atom_site_fract_z
Nb1 0.000 0.000 0.000
Tl1 0.000 0.261 0.250
Cu1 0.000 0.469 0.750
Te1 0.000 0.367 0.548
Se1 0.000 0.064 0.750


(2)
# NbTlCuSe3 | OQMD | GGA-PBE | optimized geometry
# Calculated density, Mg/m³: 7.34
# DFT total energy, eV per atom: -4.85
data_NbTlCuSe3
_chemical_formula_sum 'Nb4 Tl4 Cu4 Se12'
_space_group_name_H-M_alt 'P n m a'
_space_group_IT_number 62
_cell_length_a 12.034
_cell_length_b 3.718
_cell_length_c 12.093
_cell_angle_alpha 90.00
_cell_angle_beta 90.00
_cell_angle_gamma 90.00
loop_
_space_group_symop_operation_xyz
'x,y,z'
'-x,-y,-z'
'-x+1/2,-y,z+1/2'
'x+1/2,y,-z+1/2'
'x+1/2,-y+1/2,-z+1/2'
'-x+1/2,y+1/2,z+1/2'
'-x,y+1/2,-z'
'x,-y+1/2,z'
loop_
_atom_site_label
_atom_site_fract_x
_atom_site_fract_y
_atom_site_fract_z
Nb1 0.049 0.250 0.160
Tl1 0.177 0.250 0.483
Cu1 0.222 0.750 0.298
Se1 0.020 0.750 0.313
Se2 0.087 0.250 0.930
Se3 0.240 0.750 0.677


Q: Which of these has the highest calculated density?
A: NbTlCuTe2Se